# 1
# Be2CuBr | Alexandria | GGA-PBE | relaxed
data_Be2CuBr
_cell_length_a 4.3975
_cell_length_b 4.3975
_cell_length_c 2.8733
_cell_angle_alpha 90.00
_cell_angle_beta 90.00
_cell_angle_gamma 90.00
_symmetry_space_group_name_H-M 'P 1'
_symmetry_Int_Tables_number 1
_symmetry_space_group_name_Hall 'P 1'
loop_
_atom_site_label
_atom_site_fract_x
_atom_site_fract_y
_atom_site_fract_z
_atom_site_occupancy
Cu1 0.0000 0.5000 0.5000 1
Br1 0.5000 0.0000 0.5000 1
Be1 0.0000 0.0000 0.0000 1
Be2 0.5000 0.5000 0.0000 1
# Formation energy (no corrections) (eV per atom): 0.8228

# 2
# GaTeCl2 | Alexandria | GGA-PBE | relaxed
data_GaTeCl2
_cell_length_a 5.6537
_cell_length_b 6.5983
_cell_length_c 12.9265
_cell_angle_alpha 90.00
_cell_angle_beta 90.00
_cell_angle_gamma 90.00
_symmetry_space_group_name_H-M 'P 1'
_symmetry_Int_Tables_number 1
_symmetry_space_group_name_Hall 'P 1'
loop_
_atom_site_label
_atom_site_fract_x
_atom_site_fract_y
_atom_site_fract_z
_atom_site_occupancy
Te1 0.2505 0.1679 0.7500 1
Te2 0.7495 0.8321 0.2500 1
Cl1 0.7613 0.4145 0.4437 1
Te3 0.2495 0.6679 0.2500 1
Cl2 0.2386 0.0856 0.4437 1
Cl3 0.2613 0.0855 0.0563 1
Ga1 0.0000 0.7499 0.4389 1
Te4 0.7505 0.3321 0.7500 1
Cl4 0.7387 0.9145 0.9437 1
Cl5 0.7614 0.9144 0.5563 1
Cl6 0.7386 0.4144 0.0563 1
Cl7 0.2614 0.5856 0.9437 1
Ga2 0.5000 0.7501 0.0611 1
Ga3 0.0000 0.2501 0.5611 1
Cl8 0.2387 0.5855 0.5563 1
Ga4 0.5000 0.2499 0.9389 1
# Formation energy (no corrections) (eV per atom): -0.6138

# 3
# HoZrAl2 | Alexandria | GGA-PBE | relaxed
data_HoZrAl2
_cell_length_a 3.4018
_cell_length_b 3.4018
_cell_length_c 9.2620
_cell_angle_alpha 79.42
_cell_angle_beta 79.42
_cell_angle_gamma 60.00
_symmetry_space_group_name_H-M 'P 1'
_symmetry_Int_Tables_number 1
_symmetry_space_group_name_Hall 'P 1'
loop_
_atom_site_label
_atom_site_fract_x
_atom_site_fract_y
_atom_site_fract_z
_atom_site_occupancy
Al1 0.7461 0.7461 0.7617 1
Al2 0.2539 0.2539 0.2383 1
Ho1 0.5000 0.5000 0.5000 1
Zr1 0.0000 0.0000 0.0000 1
# Formation energy from the elements (eV/atom): -0.135

# 4
# Ac2PdF | Alexandria | GGA-PBE | relaxed
data_Ac2PdF
_cell_length_a 3.7114
_cell_length_b 3.7114
_cell_length_c 7.6299
_cell_angle_alpha 90.00
_cell_angle_beta 90.00
_cell_angle_gamma 90.00
_symmetry_space_group_name_H-M 'P 1'
_symmetry_Int_Tables_number 1
_symmetry_space_group_name_Hall 'P 1'
loop_
_atom_site_label
_atom_site_fract_x
_atom_site_fract_y
_atom_site_fract_z
_atom_site_occupancy
Ac1 0.0000 0.0000 0.2595 1
Ac2 0.0000 0.0000 0.7405 1
Pd1 0.5000 0.5000 0.5000 1
F1 0.5000 0.5000 0.0000 1
# Formation energy (no corrections) (eV per atom): -1.2634

Number 1: ΔE to the lowest computed polymorph 0.704 eV per atom. Number 2: ΔE to the lowest computed polymorph 0.000 eV per atom. Number 3: ΔE to the lowest computed polymorph 0.221 eV per atom. Number 4: ΔE to the lowest computed polymorph 0.000 eV per atom.